[1]
First-principles (PBE) data for MgBeTlCu after structural relaxation, as listed in OQMD via LeMat-Bulk.

Lattice parameters (Å, degrees): 6.375 6.375 6.375 90.00 90.00 90.00
Positions (direct):
Mg 0.000 0.000 0.000
Mg 0.000 0.500 0.500
Mg 0.500 0.000 0.500
Mg 0.500 0.500 0.000
Be 0.250 0.250 0.250
Be 0.250 0.750 0.750
Be 0.750 0.250 0.750
Be 0.750 0.750 0.250
Tl 0.000 0.000 0.500
Tl 0.000 0.500 0.000
Tl 0.500 0.000 0.000
Tl 0.500 0.500 0.500
Cu 0.250 0.250 0.750
Cu 0.250 0.750 0.250
Cu 0.750 0.250 0.250
Cu 0.750 0.750 0.750

Output
Energy relative to the lowest polymorph listed for this composition   0.00 kcal/mol of atoms
E_tot   -0.09070 Ha/atom


[2]
First-principles (PBE) data for MgBeTlCu after structural relaxation, as listed in OQMD via LeMat-Bulk.

Lattice parameters (Å, degrees): 6.455 6.455 6.455 90.00 90.00 90.00
Positions (direct):
Mg 0.000 0.000 0.000
Mg 0.000 0.500 0.500
Mg 0.500 0.000 0.500
Mg 0.500 0.500 0.000
Be 0.250 0.250 0.750
Be 0.250 0.750 0.250
Be 0.750 0.250 0.250
Be 0.750 0.750 0.750
Tl 0.250 0.250 0.250
Tl 0.250 0.750 0.750
Tl 0.750 0.250 0.750
Tl 0.750 0.750 0.250
Cu 0.000 0.000 0.500
Cu 0.000 0.500 0.000
Cu 0.500 0.000 0.000
Cu 0.500 0.500 0.500

Output
Energy relative to the lowest polymorph listed for this composition   1.17 kcal/mol of atoms
E_tot   -0.08885 Ha/atom


[3]
First-principles (PBE) data for MgBeZn2Cu4 after structural relaxation, as listed in OQMD via LeMat-Bulk.

Lattice parameters (Å, degrees): 4.099 4.099 5.994 90.00 90.00 90.00
Positions (direct):
Mg 0.000 0.000 0.000
Be 0.500 0.500 0.500
Zn 0.000 0.000 0.500
Zn 0.500 0.500 0.000
Cu 0.000 0.500 0.275
Cu 0.000 0.500 0.725
Cu 0.500 0.000 0.275
Cu 0.500 0.000 0.725

Output
E_tot   -0.10646 Ha/atom


[4]
First-principles (PBE) data for Mg2BeZnCu4 after structural relaxation, as listed in OQMD via LeMat-Bulk.

Lattice parameters (Å, degrees): 4.184 4.184 5.946 90.00 90.00 90.00
Positions (direct):
Mg 0.000 0.000 0.000
Mg 0.500 0.500 0.500
Be 0.000 0.000 0.500
Zn 0.500 0.500 0.000
Cu 0.000 0.500 0.266
Cu 0.000 0.500 0.734
Cu 0.500 0.000 0.266
Cu 0.500 0.000 0.734

Output
E_tot   -0.10697 Ha/atom


[5]
First-principles (PBE) data for BeCuMo2 after structural relaxation, as listed in OQMD via LeMat-Bulk.

Lattice parameters (Å, degrees): 6.016 6.016 6.016 90.00 90.00 90.00
Positions (direct):
Be 0.000 0.000 0.000
Be 0.000 0.500 0.500
Be 0.500 0.000 0.500
Be 0.500 0.500 0.000
Cu 0.250 0.250 0.250
Cu 0.250 0.750 0.750
Cu 0.750 0.250 0.750
Cu 0.750 0.750 0.250
Mo 0.000 0.000 0.500
Mo 0.000 0.500 0.000
Mo 0.250 0.250 0.750
Mo 0.250 0.750 0.250
Mo 0.500 0.000 0.000
Mo 0.500 0.500 0.500
Mo 0.750 0.250 0.250
Mo 0.750 0.750 0.750

Output
E_tot   -0.25416 Ha/atom


[6]
First-principles (PBE) data for BeCuSbMo after structural relaxation, as listed in OQMD via LeMat-Bulk.

Lattice parameters (Å, degrees): 6.175 6.175 6.175 90.00 90.00 90.00
Positions (direct):
Be 0.000 0.000 0.000
Be 0.000 0.500 0.500
Be 0.500 0.000 0.500
Be 0.500 0.500 0.000
Cu 0.000 0.000 0.500
Cu 0.000 0.500 0.000
Cu 0.500 0.000 0.000
Cu 0.500 0.500 0.500
Sb 0.250 0.250 0.250
Sb 0.250 0.750 0.750
Sb 0.750 0.250 0.750
Sb 0.750 0.750 0.250
Mo 0.250 0.250 0.750
Mo 0.250 0.750 0.250
Mo 0.750 0.250 0.250
Mo 0.750 0.750 0.750

Output
Energy relative to the lowest polymorph listed for this composition   4.02 kcal/mol of atoms
E_tot   -0.18098 Ha/atom